Entry 1:
The following is a DFT calculation (PBEsol) of a relaxed NiTe2F crystal.

The value obtained for the energy relative to the elements, uncorrected is -127 kJ/mol of formula units. As for the crystal system: tetragonal.

Unit cell a=5.1752 b=5.1752 c=7.5537 alpha=110.03 beta=110.03 gamma=90.00
Positions (direct):
Ni 0.0000 0.0000 0.0000
F 0.7500 0.2500 0.5000
Te 0.3428 0.8750 0.2500
F 0.5000 0.5000 0.0000
Te 0.6250 0.6572 0.7500
Ni 0.2500 0.7500 0.5000
Te 0.9072 0.3750 0.2500
Te 0.1250 0.0928 0.7500

Entry 2:
The following is a DFT calculation (PBEsol) of a relaxed KZrH3 crystal.

The calculation puts the energy above the most stable polymorph in this dataset at 0.0000 eV per atom. As for the crystal system: cubic.

Unit cell a=4.0710 b=4.0710 c=4.0710 alpha=90.00 beta=90.00 gamma=90.00
Positions (direct):
K 0.5000 0.5000 0.5000
H 0.5000 0.0000 0.0000
H 0.0000 0.0000 0.5000
Zr 0.0000 0.0000 0.0000
H 0.0000 0.5000 0.0000

Entry 3:
The following is a DFT calculation (PBEsol) of a relaxed Zr7N4O8 crystal.

The calculation puts the energy above the most stable polymorph in this dataset at 0.0029 eV per atom. The value obtained for the energy relative to the elements, uncorrected is -5176 kJ/mol of formula units. As for the crystal system: triclinic.

Unit cell a=6.1323 b=6.1915 c=6.3804 alpha=100.37 beta=99.79 gamma=99.25
Positions (direct):
O 0.3241 0.0789 0.9500
O 0.6759 0.9211 0.0500
O 0.0553 0.6718 0.8934
O 0.8170 0.5702 0.4287
N 0.5652 0.4067 0.8184
Zr 0.6055 0.3226 0.1336
Zr 0.2815 0.1279 0.6189
N 0.4348 0.5933 0.1816
O 0.1830 0.4298 0.5713
Zr 0.0000 0.0000 0.0000
O 0.4244 0.8303 0.5915
N 0.9309 0.0742 0.6823
Zr 0.1578 0.6153 0.3218
Zr 0.8422 0.3847 0.6782
Zr 0.3945 0.6774 0.8664
O 0.9447 0.3282 0.1066
O 0.5756 0.1697 0.4085
Zr 0.7185 0.8721 0.3811
N 0.0691 0.9258 0.3177

| no. | energy (eV/atom) | density of states at the Fermi level (states/eV/f.u.) |
| --- | --- | --- |
| 1 | -4.112 | 2.20 |
| 2 | -4.076 | 2.82 |
| 3 | -10.178 | 0.00 |